# LiFePO4

LiFePO4 after structural relaxation (GGA+U, Alexandria).

The structure in POSCAR format:
```
LiFePO4
1.0
5.440 0.000 0.000
0.000 7.992 -0.020
0.000 -2.109 8.265
Fe O Li P
4 16 4 4
Direct
0.335 0.869 0.200
0.169 0.365 0.894
0.665 0.869 0.700
0.831 0.365 0.394
0.681 0.583 0.346
0.406 0.324 0.061
0.298 0.822 0.700
0.702 0.822 0.200
0.162 0.877 0.995
0.804 0.221 0.165
0.196 0.221 0.665
0.838 0.877 0.495
0.343 0.059 0.403
0.594 0.324 0.561
0.319 0.583 0.846
0.899 0.693 0.772
0.101 0.693 0.272
0.804 0.369 0.928
0.657 0.059 0.903
0.196 0.369 0.428
0.662 0.500 0.780
0.157 0.967 0.571
0.843 0.967 0.071
0.338 0.500 0.280
0.169 0.742 0.827
0.831 0.742 0.327
0.335 0.246 0.513
0.665 0.246 0.013
```

Results
size of the total moment = 4.000 μB/f.u.
space group = Pc (7)
E above lowest polymorph = 38 meV/atom